! AcLa8Sc2 (PBE, optimized geometry); values from VASP
! - ΔE_f (meV/atom) = 117.8
! - magnetization (μB per cell) = 0.00
! - Fermi-level density of states (states/eV/atom) = 1.852
&SYSTEM
  ibrav = 0, nat = 11, ntyp = 3
/
ATOMIC_SPECIES
Ac 227.00 Ac.upf
La 138.91 La.upf
Sc 44.96 Sc.upf
CELL_PARAMETERS angstrom
-2.770 4.399 8.049
2.770 -4.399 8.049
2.770 4.399 -8.049
ATOMIC_POSITIONS angstrom
Ac 0.000 0.000 0.000
La 2.770 -1.753 5.626
La 2.770 0.000 2.561
La 2.770 2.686 0.000
La 0.000 2.645 2.423
La 2.770 1.753 5.626
La 0.000 1.713 8.049
La 0.000 4.399 5.488
La 0.000 6.152 2.423
Sc 0.000 0.000 4.787
Sc 0.000 0.000 11.311

---

! Ti4Ni15Sb (PBE, optimized geometry); values from VASP
! - energy relative to the elements, uncorrected (eV per formula unit) = -8.07
! - magnetization (μB per cell) = 0.00
! - Fermi-level density of states (states/eV/atom) = 0.318
&SYSTEM
  ibrav = 0, nat = 20, ntyp = 3
/
ATOMIC_SPECIES
Ti 47.87 Ti.upf
Ni 58.69 Ni.upf
Sb 121.76 Sb.upf
CELL_PARAMETERS angstrom
3.633 0.000 0.000
0.000 3.633 0.000
0.000 0.000 18.198
ATOMIC_POSITIONS angstrom
Ti 0.000 0.000 1.801
Ti 0.000 0.000 5.391
Ti 0.000 0.000 12.807
Ti 0.000 0.000 16.397
Ni 0.000 1.816 0.000
Ni 0.000 1.816 3.580
Ni 0.000 1.816 7.154
Ni 0.000 1.816 11.045
Ni 0.000 1.816 14.619
Ni 1.816 0.000 0.000
Ni 1.816 0.000 3.580
Ni 1.816 0.000 7.154
Ni 1.816 0.000 11.045
Ni 1.816 0.000 14.619
Ni 1.816 1.816 1.790
Ni 1.816 1.816 5.377
Ni 1.816 1.816 9.099
Ni 1.816 1.816 12.821
Ni 1.816 1.816 16.408
Sb 0.000 0.000 9.099

---

! CdP2Ir (PBE, optimized geometry); values from VASP
! - ΔE_f (meV/atom) = 171.7
! - magnetization (μB per cell) = 0.00
! - Fermi-level density of states (states/eV/atom) = 0.443
&SYSTEM
  ibrav = 0, nat = 4, ntyp = 3
/
ATOMIC_SPECIES
Cd 112.41 Cd.upf
P 30.97 P.upf
Ir 192.22 Ir.upf
CELL_PARAMETERS angstrom
2.895 0.000 0.000
0.000 2.895 0.000
0.000 0.000 8.145
ATOMIC_POSITIONS angstrom
Cd 0.000 0.000 0.000
P 0.000 0.000 3.530
P 1.448 1.448 6.005
Ir 1.448 1.448 2.235

---

! ZrCrTc2 (PBE, optimized geometry); values from VASP
! - ΔE_f (meV/atom) = 23.2
! - magnetization (μB per cell) = 0.00
! - Fermi-level density of states (states/eV/atom) = 0.943
&SYSTEM
  ibrav = 0, nat = 4, ntyp = 3
/
ATOMIC_SPECIES
Zr 91.22 Zr.upf
Cr 52.00 Cr.upf
Tc 98.00 Tc.upf
CELL_PARAMETERS angstrom
3.110 0.000 0.000
0.000 3.110 0.000
0.000 0.000 6.447
ATOMIC_POSITIONS angstrom
Zr 0.000 0.000 0.000
Cr 1.555 1.555 1.714
Tc 0.000 0.000 3.105
Tc 1.555 1.555 4.678

---

! Tc2C (PBE, optimized geometry); values from VASP
! - ΔE_f (meV/atom) = 277.7
! - magnetization (μB per cell) = 0.00
! - polymorph energy (0 for the lowest one) (meV/atom) = 203
! - Fermi-level density of states (states/eV/atom) = 0.609
&SYSTEM
  ibrav = 0, nat = 6, ntyp = 2
/
ATOMIC_SPECIES
Tc 98.00 Tc.upf
C 12.01 C.upf
CELL_PARAMETERS angstrom
4.981 -1.469 0.000
4.981 1.469 0.000
-4.829 0.000 5.109
ATOMIC_POSITIONS angstrom
Tc -0.918 0.000 2.034
Tc 1.599 0.000 0.723
Tc 3.534 0.000 4.386
Tc 6.051 0.000 3.075
C 3.692 0.000 0.661
C 1.442 0.000 4.448

---

! Li4Ac2InHg3 (PBE, optimized geometry); values from VASP
! - ΔE_f (meV/atom) = -334.1
! - magnetization (μB per cell) = 0.00
! - Fermi-level density of states (states/eV/atom) = 0.946
&SYSTEM
  ibrav = 0, nat = 10, ntyp = 4
/
ATOMIC_SPECIES
Li 6.94 Li.upf
Ac 227.00 Ac.upf
In 114.82 In.upf
Hg 200.59 Hg.upf
CELL_PARAMETERS angstrom
4.633 0.000 0.000
0.000 4.633 0.000
0.000 0.000 11.581
ATOMIC_POSITIONS angstrom
Li 0.000 0.000 0.000
Li 0.000 2.317 4.299
Li 2.317 0.000 7.282
Li 2.317 2.317 0.000
Ac 0.000 2.317 8.567
Ac 2.317 0.000 3.014
In 2.317 2.317 5.791
Hg 0.000 0.000 5.791
Hg 0.000 2.317 1.580
Hg 2.317 0.000 10.001

---

! Sr3CeU2P6 (PBE, optimized geometry); values from VASP
! - ΔE_f (meV/atom) = -1118.0
! - magnetization (μB per cell) = 4.00
! - Fermi-level density of states (states/eV/atom) = 1.546
&SYSTEM
  ibrav = 0, nat = 12, ntyp = 4
/
ATOMIC_SPECIES
Sr 87.62 Sr.upf
Ce 140.12 Ce.upf
U 238.03 U.upf
P 30.97 P.upf
CELL_PARAMETERS angstrom
3.598 -6.232 0.000
3.598 6.232 0.000
-2.400 0.000 6.926
ATOMIC_POSITIONS angstrom
Sr 0.000 0.000 0.000
Sr 3.598 2.054 0.000
Sr 3.598 -2.054 0.000
Ce 2.398 0.000 3.463
U 2.398 4.151 3.463
U 2.398 -4.151 3.463
P 1.160 2.142 1.984
P -0.077 0.000 4.942
P 1.160 -2.142 1.984
P 3.636 2.142 4.942
P 4.872 0.000 1.984
P 3.636 -2.142 4.942

---

! TaTl2TeO6 (PBE, optimized geometry); values from VASP
! - energy relative to the elements, uncorrected (eV per formula unit) = -15.25
! - magnetization (μB per cell) = 0.00
! - Fermi-level density of states (states/eV/atom) = 0.000
&SYSTEM
  ibrav = 0, nat = 20, ntyp = 4
/
ATOMIC_SPECIES
Ta 180.95 Ta.upf
Tl 204.38 Tl.upf
Te 127.60 Te.upf
O 16.00 O.upf
CELL_PARAMETERS angstrom
3.087 1.783 9.861
-3.087 1.783 9.861
0.000 -3.565 9.861
ATOMIC_POSITIONS angstrom
Ta 0.000 0.000 2.918
Ta 0.000 0.000 26.665
Tl 0.000 0.000 6.832
Tl 0.000 0.000 10.851
Tl 0.000 0.000 18.732
Tl 0.000 0.000 22.751
Te 0.000 0.000 0.000
Te 0.000 0.000 14.792
O 0.000 -2.080 8.579
O -1.802 1.040 8.579
O -1.597 -0.922 15.996
O 0.000 -1.844 13.587
O -1.597 0.922 13.587
O -1.802 -1.040 21.004
O 1.802 1.040 8.579
O 1.597 -0.922 15.996
O 0.000 1.844 15.996
O 1.597 0.922 13.587
O 1.802 -1.040 21.004
O 0.000 2.080 21.004

---

Copy entry 4 word for word.
! ZrCrTc2 (PBE, optimized geometry); values from VASP
! - ΔE_f (meV/atom) = 23.2
! - magnetization (μB per cell) = 0.00
! - Fermi-level density of states (states/eV/atom) = 0.943
&SYSTEM
  ibrav = 0, nat = 4, ntyp = 3
/
ATOMIC_SPECIES
Zr 91.22 Zr.upf
Cr 52.00 Cr.upf
Tc 98.00 Tc.upf
CELL_PARAMETERS angstrom
3.110 0.000 0.000
0.000 3.110 0.000
0.000 0.000 6.447
ATOMIC_POSITIONS angstrom
Zr 0.000 0.000 0.000
Cr 1.555 1.555 1.714
Tc 0.000 0.000 3.105
Tc 1.555 1.555 4.678

---

The highest magnetization belongs to which entry? Sr3CeU2P6

---

What is the Fermi-level density of states in the sixth record? 0.946 states/eV/atom